(1)
Density functional theory data (GGA-PBE) for an optimized crystal structure of Sm2ErTh4.

Results
total energy: -6.164 eV/atom
energy of formation: 0.076 eV per atom

Unit cell a=3.5735 b=3.5730 c=18.1869 alpha=90.00 beta=95.64 gamma=90.00
Last column: nearest neighbours and their distance in Å.
Positions (direct):
Th1 0.3623 0.0000 0.7246  8 Th 3.52-3.57, 4 Sm 3.54
Sm1 0.2064 0.5000 0.4127  4 Th 3.54, 6 Sm 3.57-3.63
Er1 0.5000 0.0000 0.0000  4 Er 3.57, 8 Th 3.58
Th2 0.6377 0.0000 0.2754  8 Th 3.52-3.57, 4 Sm 3.54
Th3 0.9298 0.5000 0.8597  8 Th 3.52-3.57, 4 Er 3.58
Th4 0.0702 0.5000 0.1403  8 Th 3.52-3.57, 4 Er 3.58
Sm2 0.7936 0.5000 0.5873  4 Th 3.54, 6 Sm 3.57-3.63


(2)
Density functional theory data (GGA-PBE) for an optimized crystal structure of DyTmCu2.

Results
total energy: -4.586 eV/atom
energy of formation: -0.270 eV per atom

Unit cell a=4.8700 b=4.8700 c=4.8700 alpha=60.00 beta=60.00 gamma=60.00
Last column: nearest neighbours and their distance in Å.
Positions (direct):
Cu1 0.7500 0.7500 0.7500  4 Dy 2.98, 4 Tm 2.98
Dy1 0.5000 0.5000 0.5000  8 Cu 2.98
Cu2 0.2500 0.2500 0.2500  4 Dy 2.98, 4 Tm 2.98
Tm1 0.0000 0.0000 0.0000  8 Cu 2.98


(3)
Density functional theory data (GGA-PBE) for an optimized crystal structure of ZrAlHg2F.

Results
E_form (uncorrected): -383 meV per atom
total energy: -3.337 eV/atom

Unit cell a=5.2225 b=3.6828 c=5.2225 alpha=90.00 beta=90.00 gamma=90.00
Last column: nearest neighbours and their distance in Å.
Positions (direct):
F1 0.0000 0.0000 0.0000  2 Al 1.84
Hg1 0.5000 0.0000 0.0000  2 F 2.61
Zr1 0.5000 0.5000 0.5000  8 Hg 3.20
Al1 0.0000 0.5000 0.0000  2 F 1.84
Hg2 0.0000 0.0000 0.5000  2 F 2.61


(4)
Density functional theory data (GGA-PBE) for an optimized crystal structure of NdDyIr.

Results
ΔE to the lowest computed polymorph: 97.6 meV/atom
total energy: -6.590 eV/atom
energy of formation: -0.513 eV per atom

Unit cell a=6.2688 b=4.1700 c=4.1700 alpha=120.00 beta=90.00 gamma=90.00
Last column: nearest neighbours and their distance in Å.
Positions (direct):
Nd1 0.7673 0.6667 0.3333  3 Ir 2.84
Ir1 0.0077 0.0000 0.0000  3 Dy 2.77, 3 Nd 2.84
Dy1 0.2249 0.3333 0.6667  3 Ir 2.77


(5)
Density functional theory data (GGA-PBE) for an optimized crystal structure of Mg4I.

Results
E_form (uncorrected): 595 meV per atom
total energy: -0.990 eV/atom

Unit cell a=5.6950 b=5.6950 c=5.6950 alpha=90.00 beta=90.00 gamma=90.00
Last column: nearest neighbours and their distance in Å.
Positions (direct):
Mg1 0.5000 0.0000 0.5000  2 I 2.85
I1 0.5000 0.5000 0.5000  6 Mg 2.85
Mg2 0.0000 0.0000 0.0000  12 Mg 4.03
Mg3 0.0000 0.5000 0.5000  2 I 2.85
Mg4 0.5000 0.5000 0.0000  2 I 2.85


(6)
Density functional theory data (GGA-PBE) for an optimized crystal structure of Nd4Ni2Au5.

Results
total energy: -4.923 eV/atom
energy of formation: -0.648 eV per atom

Unit cell a=3.9541 b=7.3569 c=8.6696 alpha=92.51 beta=90.00 gamma=90.00
Last column: nearest neighbours and their distance in Å.
Positions (direct):
Au1 0.0000 0.4283 0.6569  1 Ni 2.68, 1 Au 2.96
Au2 0.0000 0.5000 0.0000  4 Au 2.92-3.00, 4 Nd 3.15
Nd1 0.5000 0.2428 0.4045  4 Ni 3.01-3.09, 6 Au 3.13-3.21
Au3 0.0000 0.8576 0.8665  1 Ni 2.63, 1 Au 2.92
Nd2 0.5000 0.7572 0.5955  4 Ni 3.01-3.09, 6 Au 3.13-3.21
Nd3 0.5000 0.2046 0.8563  2 Ni 2.96, 8 Au 3.14-3.23
Au4 0.0000 0.5717 0.3431  1 Ni 2.68, 1 Au 2.96
Ni1 0.0000 0.0648 0.6262  1 Ni 2.35
Au5 0.0000 0.1424 0.1335  1 Ni 2.63, 1 Au 2.92
Ni2 0.0000 0.9352 0.3738  1 Ni 2.35
Nd4 0.5000 0.7954 0.1437  2 Ni 2.96, 8 Au 3.14-3.23


(7)
Density functional theory data (GGA-PBE) for an optimized crystal structure of Nd7Sm3Sc.

Results
ΔE to the lowest computed polymorph: 0.0 meV/atom
total energy: -4.703 eV/atom
energy of formation: 0.193 eV per atom

Unit cell a=9.9023 b=9.9022 c=12.8417 alpha=112.24 beta=67.76 gamma=138.48
Last column: nearest neighbours and their distance in Å.
Positions (direct):
Nd1 0.1019 0.8420 0.7233  4 Sm 3.40-3.78, 3 Nd 3.47-3.70
Nd2 0.1579 0.8981 0.2233  4 Sm 3.40-3.78, 3 Nd 3.47-3.70
Nd3 0.0970 0.4265 0.0251  5 Nd 3.36-3.72, 1 Sc 3.38, 3 Sm 3.45-3.50
Sm1 0.0000 0.0001 0.0000  6 Nd 3.40-3.50, 2 Sc 3.51
Nd4 0.4264 0.0969 0.4749  5 Nd 3.36-3.72, 1 Sc 3.38, 3 Sm 3.45-3.50
Sc1 0.4999 0.4999 0.4998  6 Nd 3.31-3.43, 2 Sm 3.51
Nd5 0.0905 0.4286 0.5332  4 Nd 3.36-3.66, 3 Sm 3.37-3.50, 1 Sc 3.43
Sc2 0.5001 0.5001 0.9998  6 Nd 3.31-3.43, 2 Sm 3.51
Sm2 0.3065 0.6734 0.7714  9 Nd 3.37-3.78, 1 Sc 3.76
Sm3 0.3266 0.6935 0.2714  9 Nd 3.37-3.78, 1 Sc 3.76
Nd6 0.4286 0.0905 0.9670  4 Nd 3.36-3.66, 3 Sm 3.37-3.50, 1 Sc 3.43
Nd7 0.6132 0.6132 0.2498  2 Sc 3.31, 2 Sm 3.37, 2 Nd 3.70
Sm4 0.6936 0.3267 0.2286  9 Nd 3.37-3.78, 1 Sc 3.75
Sm5 0.6733 0.3064 0.7286  9 Nd 3.37-3.78, 1 Sc 3.75
Nd8 0.9095 0.5714 0.4670  4 Nd 3.36-3.66, 3 Sm 3.37-3.50, 1 Sc 3.43
Nd9 0.3868 0.3868 0.7498  2 Sc 3.31, 2 Sm 3.37, 2 Nd 3.70
Nd10 0.9031 0.5736 0.9749  5 Nd 3.36-3.72, 1 Sc 3.38, 3 Sm 3.45-3.50
Nd11 0.5714 0.9096 0.0332  4 Nd 3.36-3.66, 3 Sm 3.37-3.50, 1 Sc 3.43
Nd12 0.8421 0.1018 0.7769  4 Sm 3.40-3.78, 3 Nd 3.47-3.70
Nd13 0.8982 0.1579 0.2769  4 Sm 3.40-3.78, 3 Nd 3.47-3.70
Nd14 0.5736 0.9030 0.5251  5 Nd 3.36-3.72, 1 Sc 3.38, 3 Sm 3.45-3.50
Sm6 0.9999 0.0000 0.5000  6 Nd 3.40-3.50, 2 Sc 3.51


(8)
Density functional theory data (GGA-PBE) for an optimized crystal structure of NaP2IN.

Results
E_form (uncorrected): 546 meV per atom
total energy: -3.857 eV/atom

Unit cell a=4.0088 b=6.8041 c=4.0088 alpha=90.00 beta=90.00 gamma=90.00
Last column: nearest neighbours and their distance in Å.
Positions (direct):
Na1 0.0000 0.5000 0.0000  4 I 2.83
I1 0.5000 0.5000 0.5000  4 Na 2.83
N1 0.0000 0.0000 0.0000  4 P 2.00
P1 0.0000 0.0000 0.5000  2 N 2.00
P2 0.5000 0.0000 0.0000  2 N 2.00


(9)
Density functional theory data (GGA-PBE) for an optimized crystal structure of Ac2LuPu.

Results
ΔE to the lowest computed polymorph: 0.0 meV/atom
total energy: -6.597 eV/atom
energy of formation: 0.170 eV per atom

Unit cell a=3.7744 b=3.7744 c=10.2215 alpha=90.00 beta=90.00 gamma=90.00
Last column: nearest neighbours and their distance in Å.
Positions (direct):
Ac1 0.0000 0.0000 0.2514  4 Lu 3.68, 4 Pu 3.71, 4 Ac 3.77
Pu1 0.5000 0.5000 0.0000  8 Ac 3.71, 4 Pu 3.77
Ac2 0.0000 0.0000 0.7486  4 Lu 3.68, 4 Pu 3.71, 4 Ac 3.77
Lu1 0.5000 0.5000 0.5000  8 Ac 3.68, 4 Lu 3.77


(10)
Density functional theory data (GGA-PBE) for an optimized crystal structure of K2YCu.

Results
ΔE to the lowest computed polymorph: 128.1 meV/atom
total energy: -2.877 eV/atom
energy of formation: 0.312 eV per atom

Unit cell a=5.1649 b=5.1649 c=9.9872 alpha=76.43 beta=76.43 gamma=43.55
Last column: nearest neighbours and their distance in Å.
Positions (direct):
K1 0.9095 0.9095 0.0757  2 Cu 3.51, 2 K 3.83, 1 Y 3.85
Cu1 0.2731 0.2731 0.3750  3 Y 2.77-2.80
Y1 0.5652 0.5652 0.3750  3 Cu 2.77-2.80
K2 0.7523 0.7523 0.6742  2 Cu 3.51, 2 K 3.83, 1 Y 3.86


(11)
Density functional theory data (GGA-PBE) for an optimized crystal structure of ScSbBr4.

Results
E_form (uncorrected): 377 meV per atom
total energy: -2.481 eV/atom

Unit cell a=6.1601 b=6.1601 c=6.1601 alpha=60.00 beta=60.00 gamma=60.00
Last column: nearest neighbours and their distance in Å.
Positions (direct):
Sc1 0.0000 0.0000 0.0000  12 Br 3.61, 4 Sb 3.77
Br1 0.8756 0.3748 0.3748  6 Br 3.08-3.09
Sb1 0.7500 0.7500 0.7500  12 Br 3.61, 4 Sc 3.77
Br2 0.3748 0.8756 0.3748  6 Br 3.08-3.09
Br3 0.3748 0.3748 0.3748  6 Br 3.08-3.09
Br4 0.3748 0.3748 0.8756  6 Br 3.08-3.09


(12)
Density functional theory data (GGA-PBE) for an optimized crystal structure of AcPHIr.

Results
total energy: -6.294 eV/atom

Unit cell a=4.0137 b=4.0137 c=8.8074 alpha=90.00 beta=90.00 gamma=90.00
Last column: nearest neighbours and their distance in Å.
Positions (direct):
H1 0.0000 0.0000 0.5000  4 Ac 2.58, 4 H 2.84
P1 0.0000 0.5000 0.8466  4 Ir 2.42
Ac1 0.5000 0.0000 0.6839  4 H 2.58
H2 0.5000 0.5000 0.5000  4 Ac 2.58, 4 H 2.84
Ac2 0.0000 0.5000 0.3161  4 H 2.58
Ir1 0.5000 0.5000 0.0000  4 P 2.42
P2 0.5000 0.0000 0.1534  4 Ir 2.42
Ir2 0.0000 0.0000 0.0000  4 P 2.42


Total magnetic moment, record by record: 0.00 0.00 0.00 0.00 0.00 0.00 0.00 0.52 5.99 0.00 0.00 0.00 μB/f.u.